Computed, not measured: a geometry-optimized CaHgMo2O8 structure at the PBE with a Hubbard U level of DFT.

The structure belongs to space group I-4m2 (No. 119); the cell edges are 7.397, 7.397 and 6.841 Å and the angles 90.00°, 90.00° and 90.00°. Symmetry generates all atoms from Ca at (0.000, 0.000, 0.000), Hg at (0.000, 0.500, 0.250), Mo at (0.000, 0.000, 0.500), Mo at (0.000, 0.500, 0.750), O at (0.000, 0.191, 0.336) and O at (0.000, 0.304, 0.905).

The calculation puts the total energy at -76.01 eV per formula unit.